Ti2CCl | PBE-GGA | relaxed

Cell: 5.1641 5.1641 6.1455 Å, 65.16 65.16 90.00°
Fractional positions:
1 C 0.5000 0.5000 0.0000
2 C 0.2500 0.7500 0.5000
3 Cl 0.0000 0.0000 0.0000
4 Cl 0.7500 0.2500 0.5000
5 Ti 0.5547 0.1250 0.2500
6 Ti 0.1953 0.6250 0.2500
7 Ti 0.3750 0.4453 0.7500
8 Ti 0.8750 0.8047 0.7500

Output
- M_tot (μB per formula unit) = 0.0
- formation energy (no corrections) (eV per atom) = -0.381
- space group = I-42d, No. 122


BaScCo2 | PBE-GGA | relaxed

Cell: 4.7694 4.7694 4.7694 Å, 60.00 60.00 60.00°
Site moments in Bohr magnetons follow the coordinates.
Fractional positions:
1 Ba 0.5000 0.5000 0.5000  -0.09
2 Co 0.0000 0.0000 0.0000  1.35
3 Co 0.2500 0.2500 0.2500  1.47
4 Sc 0.7500 0.7500 0.7500  -0.28

Output
- energy above the most stable polymorph in this dataset (eV/atom) = 0.651
- M_tot (μB per formula unit) = 2.2
- formation enthalpy at 0 K (eV/atom) = 0.734
- space group = F-43m, No. 216


Zn4CuRu | PBE-GGA | relaxed

Cell: 4.9070 4.9070 4.9070 Å, 60.00 60.00 60.00°
Fractional positions:
1 Zn 0.8758 0.3747 0.3747
2 Zn 0.3747 0.3747 0.8758
3 Zn 0.3747 0.8758 0.3747
4 Zn 0.3747 0.3747 0.3747
5 Cu 0.7500 0.7500 0.7500
6 Ru 0.0000 0.0000 0.0000

Output
- energy above the most stable polymorph in this dataset (eV/atom) = 0.214
- M_tot (μB per formula unit) = 0.0
- formation enthalpy at 0 K (eV/atom) = 0.140
- space group = F-43m, No. 216